## TlTe2Pb (SCAN)

Data for a crystal of TlTe2Pb relaxed with PBEsol.

Computed properties:
M_tot (μB/atom): 0.000
Space group: No. 123
Total energy (eV per atom): -55.710
D(E_F) (states/eV/f.u.): 2.9

a b c (Å): 5.481 5.481 3.907
angles (deg): 90.00 90.00 90.00
Fractional coordinates of all 4 atoms:
Tl (0.000, 0.000, 0.000)
Te (0.000, 0.500, 0.500)
Te (0.500, 0.000, 0.500)
Pb (0.500, 0.500, 0.000)